No. 1
DFT (GGA-PBEsol) results for crystalline TaAu5 at its relaxed geometry.

a = 11.098 Å, b = 2.829 Å, c = 6.788 Å
α = 90.00°, β = 106.19°, γ = 90.00°
Space group Cm (No. 8)
Symmetry-distinct sites (fractional):
Ta 0.000 0.000 0.000
Au 0.110 0.500 0.736
Au 0.166 0.500 0.321
Au 0.290 0.000 0.059
Au 0.332 0.000 0.665
Au 0.451 0.500 0.391

- formation enthalpy at 0 K (eV/atom) = 0.00


No. 2
DFT (GGA-PBEsol) results for crystalline BeAlSCl2 at its relaxed geometry.

a = 4.528 Å, b = 4.528 Å, c = 4.741 Å
α = 90.00°, β = 90.00°, γ = 90.00°
Space group P4/mmm (No. 123)
Symmetry-distinct sites (fractional):
Be 0.000 0.000 0.000
Al 0.500 0.500 0.500
S 0.500 0.500 0.000
Cl 0.000 0.500 0.500

- formation energy (no corrections) (eV per atom) = -0.1544


No. 3
DFT (GGA-PBEsol) results for crystalline YTl at its relaxed geometry.

a = 4.434 Å, b = 4.434 Å, c = 10.740 Å
α = 90.00°, β = 90.00°, γ = 90.00°
Space group I4_1/amd (No. 141, origin choice 2)
Symmetry-distinct sites (fractional):
Y 0.000 0.250 0.375
Tl 0.000 0.250 0.875

- formation enthalpy at 0 K (eV/atom) = -0.38


No. 4
DFT (GGA-PBEsol) results for crystalline K2SrTa at its relaxed geometry.

a = 8.650 Å, b = 8.650 Å, c = 8.650 Å
α = 90.00°, β = 90.00°, γ = 90.00°
Space group Fm-3m (No. 225)
Symmetry-distinct sites (fractional):
K 0.250 0.250 0.250
Sr 0.000 0.000 0.000
Ta 0.000 0.000 0.500

- ΔE to the lowest computed polymorph (meV per atom) = 511
- formation enthalpy at 0 K (eV/atom) = 1.48


No. 5
DFT (GGA-PBEsol) results for crystalline KBaMo2 at its relaxed geometry.

a = 7.689 Å, b = 7.689 Å, c = 7.689 Å
α = 90.00°, β = 90.00°, γ = 90.00°
Space group Fm-3m (No. 225)
Symmetry-distinct sites (fractional):
K 0.000 0.000 0.000
Ba 0.000 0.000 0.500
Mo 0.250 0.250 0.250

- ΔE to the lowest computed polymorph (meV per atom) = 688
- formation enthalpy at 0 K (eV/atom) = 2.22


No. 6
DFT (GGA-PBEsol) results for crystalline Sr2MnOs at its relaxed geometry.

a = 3.992 Å, b = 5.309 Å, c = 9.444 Å
α = 90.00°, β = 90.00°, γ = 90.00°
Space group Imm2 (No. 44)
Symmetry-distinct sites (fractional):
Sr 0.000 0.000 0.000
Sr 0.000 0.500 0.196
Mn 0.000 0.500 0.793
Os 0.000 0.000 0.405

- ΔE to the lowest computed polymorph (meV per atom) = 0
- formation enthalpy at 0 K (eV/atom) = 0.60


No. 7
DFT (GGA-PBEsol) results for crystalline K2ZnAgPb at its relaxed geometry.

a = 6.703 Å, b = 6.703 Å, c = 4.899 Å
α = 90.00°, β = 90.00°, γ = 90.00°
Space group P4/mmm (No. 123)
Symmetry-distinct sites (fractional):
K 0.000 0.500 0.000
Zn 0.000 0.000 0.500
Ag 0.500 0.500 0.500
Pb 0.000 0.000 0.000

- formation enthalpy at 0 K (eV/atom) = 0.47


No. 8
DFT (GGA-PBEsol) results for crystalline Ca3Cd5 at its relaxed geometry.

a = 7.679 Å, b = 10.351 Å, c = 5.032 Å
α = 90.00°, β = 90.00°, γ = 90.00°
Space group Cmmm (No. 65)
Symmetry-distinct sites (fractional):
Ca 0.000 0.000 0.000
Ca 0.000 0.262 0.500
Cd 0.000 0.500 0.000
Cd 0.250 0.000 0.500
Cd 0.250 0.250 0.000

- formation enthalpy at 0 K (eV/atom) = -0.27


No. 9
DFT (GGA-PBEsol) results for crystalline FeHgRu2 at its relaxed geometry.

a = 6.163 Å, b = 6.163 Å, c = 6.163 Å
α = 90.00°, β = 90.00°, γ = 90.00°
Space group F-43m (No. 216)
Symmetry-distinct sites (fractional):
Fe 0.000 0.000 0.000
Hg 0.250 0.250 0.750
Ru 0.000 0.000 0.500
Ru 0.250 0.250 0.250

- formation enthalpy at 0 K (eV/atom) = 0.64


No. 10
DFT (GGA-PBEsol) results for crystalline Ba2CaCd at its relaxed geometry.

a = 8.395 Å, b = 8.395 Å, c = 8.395 Å
α = 90.00°, β = 90.00°, γ = 90.00°
Space group F-43m (No. 216)
Symmetry-distinct sites (fractional):
Ba 0.000 0.000 0.000
Ba 0.250 0.250 0.250
Ca 0.250 0.250 0.750
Cd 0.000 0.000 0.500

- formation enthalpy at 0 K (eV/atom) = -0.06


No. 11
DFT (GGA-PBEsol) results for crystalline LiP2ClO at its relaxed geometry.

a = 4.519 Å, b = 4.519 Å, c = 3.398 Å
α = 90.00°, β = 90.00°, γ = 90.00°
Space group P4/mmm (No. 123)
Symmetry-distinct sites (fractional):
Li 0.000 0.000 0.000
P 0.000 0.500 0.000
Cl 0.500 0.500 0.500
O 0.000 0.000 0.500

- ΔE to the lowest computed polymorph (meV per atom) = 760
- formation energy (no corrections) (eV per atom) = 0.5634


No. 12
DFT (GGA-PBEsol) results for crystalline CaY2O4 at its relaxed geometry.

a = 9.673 Å, b = 3.356 Å, c = 11.638 Å
α = 90.00°, β = 90.00°, γ = 90.00°
Space group Pnma (No. 62)
Symmetry-distinct sites (fractional):
Ca 0.248 0.250 0.147
Y 0.070 0.250 0.886
Y 0.089 0.250 0.389
O 0.006 0.250 0.212
O 0.073 0.250 0.584
O 0.139 0.750 0.016
O 0.220 0.750 0.312

- ΔE to the lowest computed polymorph (meV per atom) = 4
- formation energy (no corrections) (eV per atom) = -3.4024


No. 13
DFT (GGA-PBEsol) results for crystalline Ho3NiGe2 at its relaxed geometry.

a = 11.178 Å, b = 4.098 Å, c = 11.038 Å
α = 90.00°, β = 90.00°, γ = 90.00°
Space group Pnma (No. 62)
Symmetry-distinct sites (fractional):
Ho 0.056 0.250 0.128
Ho 0.119 0.750 0.559
Ho 0.220 0.250 0.803
Ni 0.129 0.250 0.369
Ge 0.018 0.750 0.313
Ge 0.192 0.750 0.999

- formation enthalpy at 0 K (eV/atom) = -0.84


No. 14
DFT (GGA-PBEsol) results for crystalline KSn2I5 at its relaxed geometry.

a = 8.658 Å, b = 8.658 Å, c = 15.277 Å
α = 90.00°, β = 90.00°, γ = 90.00°
Space group I4/mcm (No. 140)
Symmetry-distinct sites (fractional):
K 0.000 0.000 0.250
Sn 0.164 0.336 0.000
I 0.000 0.000 0.000
I 0.157 0.343 0.362

- formation energy (no corrections) (eV per atom) = -0.7172


No. 15
DFT (GGA-PBEsol) results for crystalline TeSe2NCl at its relaxed geometry.

a = 5.270 Å, b = 5.270 Å, c = 5.290 Å
α = 90.00°, β = 90.00°, γ = 90.00°
Space group P4/mmm (No. 123)
Symmetry-distinct sites (fractional):
Te 0.000 0.000 0.000
Se 0.000 0.500 0.000
N 0.500 0.500 0.500
Cl 0.000 0.000 0.500

- formation energy (no corrections) (eV per atom) = 1.3071


No. 16
DFT (GGA-PBEsol) results for crystalline MgTiMo3 at its relaxed geometry.

a = 4.555 Å, b = 4.555 Å, c = 4.555 Å
α = 90.00°, β = 90.00°, γ = 90.00°
Space group Pm-3m (No. 221)
Symmetry-distinct sites (fractional):
Mg 0.000 0.000 0.000
Ti 0.500 0.500 0.500
Mo 0.000 0.500 0.500

- formation enthalpy at 0 K (eV/atom) = 1.38


No. 17
DFT (GGA-PBEsol) results for crystalline InPPd5 at its relaxed geometry.

a = 3.919 Å, b = 3.919 Å, c = 6.897 Å
α = 90.00°, β = 90.00°, γ = 90.00°
Space group P4/mmm (No. 123)
Symmetry-distinct sites (fractional):
In 0.000 0.000 0.000
P 0.500 0.500 0.500
Pd 0.000 0.500 0.299
Pd 0.500 0.500 0.000

- formation enthalpy at 0 K (eV/atom) = -0.60


No. 18
DFT (GGA-PBEsol) results for crystalline InReAg2 at its relaxed geometry.

a = 2.774 Å, b = 4.179 Å, c = 5.814 Å
α = 90.00°, β = 90.00°, γ = 90.00°
Space group Pmm2 (No. 25)
Symmetry-distinct sites (fractional):
In 0.000 0.000 0.000
Re 0.500 0.500 0.234
Ag 0.000 0.000 0.487
Ag 0.500 0.500 0.723

- formation enthalpy at 0 K (eV/atom) = 0.50


No. 19
DFT (GGA-PBEsol) results for crystalline Gd2CuRu at its relaxed geometry.

a = 6.806 Å, b = 6.806 Å, c = 6.806 Å
α = 90.00°, β = 90.00°, γ = 90.00°
Space group Fm-3m (No. 225)
Symmetry-distinct sites (fractional):
Gd 0.250 0.250 0.250
Cu 0.000 0.000 0.000
Ru 0.000 0.000 0.500

- formation enthalpy at 0 K (eV/atom) = -0.24


No. 20
DFT (GGA-PBEsol) results for crystalline ScCoMo2 at its relaxed geometry.

a = 3.545 Å, b = 4.057 Å, c = 8.322 Å
α = 90.00°, β = 90.00°, γ = 90.00°
Space group Cmmm (No. 65)
Symmetry-distinct sites (fractional):
Sc 0.000 0.000 0.000
Co 0.000 0.000 0.500
Mo 0.000 0.500 0.286

- ΔE to the lowest computed polymorph (meV per atom) = 143
- formation enthalpy at 0 K (eV/atom) = 0.18